(1)
# ScTcPtI (GGA-PBE, relaxed)
# Uncorrected formation energy, meV per atom: -172
# Total moment, μB per formula unit: 1.005
# Energy above the most stable polymorph in this dataset, eV per atom: 0.000
# Energy, eV/atom: -6.244
data_ScTcPtI
_chemical_formula_sum 'Sc2 Tc2 Pt2 I2'
_space_group_name_H-M_alt 'C 1 m 1'
_space_group_IT_number 8
_space_group_name_Hall 'C -2y'
_cell_length_a 7.162
_cell_length_b 4.117
_cell_length_c 6.865
_cell_angle_alpha 90.00
_cell_angle_beta 90.34
_cell_angle_gamma 90.00
loop_
_atom_site_label
_atom_site_type_symbol
_atom_site_fract_x
_atom_site_fract_y
_atom_site_fract_z
Sc1 Sc 0.000 0.000 0.000
Tc1 Tc 0.333 0.000 0.698
Pt1 Pt 0.166 0.500 0.794
I1 I 0.334 0.000 0.296

=====

(2)
# ScTcPtI (GGA-PBE, relaxed)
# Uncorrected formation energy, meV per atom: -103
# Total moment, μB per formula unit: 0.882
# Energy above the most stable polymorph in this dataset, eV per atom: 0.069
# Energy, eV/atom: -6.175
data_ScTcPtI
_chemical_formula_sum 'Sc2 Tc2 Pt2 I2'
_space_group_name_H-M_alt 'A m m 2'
_space_group_IT_number 38
_space_group_name_Hall 'A 2 -2'
_cell_length_a 3.530
_cell_length_b 3.574
_cell_length_c 13.806
_cell_angle_alpha 90.00
_cell_angle_beta 90.00
_cell_angle_gamma 90.00
loop_
_atom_site_label
_atom_site_type_symbol
_atom_site_fract_x
_atom_site_fract_y
_atom_site_fract_z
Sc1 Sc 0.000 0.000 0.000
Tc1 Tc 0.000 0.000 0.179
Pt1 Pt 0.500 0.000 0.615
I1 I 0.500 0.000 0.366

=====

(3)
# ScTe2PtI (GGA-PBE, relaxed)
# Uncorrected formation energy, meV per atom: 66
# Total moment, μB per formula unit: 0.103
# Energy above the most stable polymorph in this dataset, eV per atom: 0.000
# Energy, eV/atom: -3.975
data_ScTe2PtI
_chemical_formula_sum 'Sc1 Te2 Pt1 I1'
_space_group_name_H-M_alt 'P 4/m m m'
_space_group_IT_number 123
_space_group_name_Hall '-P 4 2'
_cell_length_a 5.340
_cell_length_b 5.340
_cell_length_c 5.363
_cell_angle_alpha 90.00
_cell_angle_beta 90.00
_cell_angle_gamma 90.00
loop_
_atom_site_label
_atom_site_type_symbol
_atom_site_fract_x
_atom_site_fract_y
_atom_site_fract_z
Sc1 Sc 0.000 0.000 0.000
Te1 Te 0.000 0.500 0.500
Pt1 Pt 0.500 0.500 0.500
I1 I 0.500 0.500 0.000

=====

(4)
# ScTe2PtI (GGA-PBE, relaxed)
# Uncorrected formation energy, meV per atom: 372
# Total moment, μB per formula unit: 0.002
# Energy above the most stable polymorph in this dataset, eV per atom: 0.305
# Energy, eV/atom: -3.669
data_ScTe2PtI
_chemical_formula_sum 'Sc1 Te2 Pt1 I1'
_space_group_name_H-M_alt 'P 4/m m m'
_space_group_IT_number 123
_space_group_name_Hall '-P 4 2'
_cell_length_a 5.553
_cell_length_b 5.553
_cell_length_c 5.393
_cell_angle_alpha 90.00
_cell_angle_beta 90.00
_cell_angle_gamma 90.00
loop_
_atom_site_label
_atom_site_type_symbol
_atom_site_fract_x
_atom_site_fract_y
_atom_site_fract_z
Sc1 Sc 0.000 0.000 0.000
Te1 Te 0.000 0.500 0.000
Pt1 Pt 0.500 0.500 0.500
I1 I 0.000 0.000 0.500

=====

(5)
# Sc2TePtI (GGA-PBE, relaxed)
# Uncorrected formation energy, meV per atom: 844
# Total moment, μB per formula unit: 0.000
# Energy, eV/atom: -3.835
data_Sc2TePtI
_chemical_formula_sum 'Sc2 Te1 Pt1 I1'
_space_group_name_H-M_alt 'P 4/m m m'
_space_group_IT_number 123
_space_group_name_Hall '-P 4 2'
_cell_length_a 5.218
_cell_length_b 5.218
_cell_length_c 5.714
_cell_angle_alpha 90.00
_cell_angle_beta 90.00
_cell_angle_gamma 90.00
loop_
_atom_site_label
_atom_site_type_symbol
_atom_site_fract_x
_atom_site_fract_y
_atom_site_fract_z
Sc1 Sc 0.000 0.500 0.000
Te1 Te 0.000 0.000 0.500
Pt1 Pt 0.500 0.500 0.500
I1 I 0.000 0.000 0.000

=====

(6)
# ScTi2PtI (GGA-PBE, relaxed)
# Uncorrected formation energy, meV per atom: 18
# Total moment, μB per formula unit: 2.000
# Energy above the most stable polymorph in this dataset, eV per atom: 0.000
# Energy, eV/atom: -5.925
data_ScTi2PtI
_chemical_formula_sum 'Sc1 Ti2 Pt1 I1'
_space_group_name_H-M_alt 'P 4/m m m'
_space_group_IT_number 123
_space_group_name_Hall '-P 4 2'
_cell_length_a 4.932
_cell_length_b 4.932
_cell_length_c 5.180
_cell_angle_alpha 90.00
_cell_angle_beta 90.00
_cell_angle_gamma 90.00
loop_
_atom_site_label
_atom_site_type_symbol
_atom_site_fract_x
_atom_site_fract_y
_atom_site_fract_z
Sc1 Sc 0.000 0.000 0.000
Ti1 Ti 0.000 0.500 0.500
Pt1 Pt 0.000 0.000 0.500
I1 I 0.500 0.500 0.000